*1*
Here is a relaxed structure of Mg3WO from Alexandria. Energies are from PBE with a Hubbard U.

Properties
DOS at the Fermi energy (states/eV per cell): 1.1
Total magnetic moment (μB per atom): 0.77

Geometry as CIF:
```
data_Mg3WO
_space_group_name_H-M_alt 'P 1'
_space_group_IT_number 1
_space_group_name_Hall 'P 1'
_cell_length_a 4.382
_cell_length_b 4.382
_cell_length_c 4.382
_cell_angle_alpha 90.00
_cell_angle_beta 90.00
_cell_angle_gamma 90.00
loop_
_atom_site_label
_atom_site_type_symbol
_atom_site_fract_x
_atom_site_fract_y
_atom_site_fract_z
Mg1 Mg 0.000 0.500 0.000
Mg2 Mg 0.000 0.000 0.500
Mg3 Mg 0.500 0.000 0.000
O1 O 0.000 0.000 0.000
W1 W 0.500 0.500 0.500
```

=====

*2*
Here is a relaxed structure of Mg3WO from Alexandria. Energies are from PBE with a Hubbard U.

Properties
DOS at the Fermi energy (states/eV per cell): 6.9
Total magnetic moment (μB per atom): 0.91

Geometry as CIF:
```
data_Mg3WO
_space_group_name_H-M_alt 'P 1'
_space_group_IT_number 1
_space_group_name_Hall 'P 1'
_cell_length_a 5.467
_cell_length_b 5.467
_cell_length_c 5.467
_cell_angle_alpha 90.00
_cell_angle_beta 90.00
_cell_angle_gamma 90.00
loop_
_atom_site_label
_atom_site_type_symbol
_atom_site_fract_x
_atom_site_fract_y
_atom_site_fract_z
Mg1 Mg 0.000 0.500 0.000
Mg2 Mg 0.000 0.000 0.500
Mg3 Mg 0.500 0.000 0.000
O1 O 0.500 0.500 0.500
W1 W 0.000 0.000 0.000
```

=====

Short version: *1* is the most stable of them.

=====

*1*
Here is a relaxed structure of MgW2O5 from Alexandria. Energies are from PBE with a Hubbard U.

Properties
DOS at the Fermi energy (states/eV per cell): 0.0
Total magnetic moment (μB per atom): 0.00

Geometry as CIF:
```
data_MgW2O5
_space_group_name_H-M_alt 'P 1'
_space_group_IT_number 1
_space_group_name_Hall 'P 1'
_cell_length_a 6.058
_cell_length_b 6.058
_cell_length_c 10.902
_cell_angle_alpha 90.00
_cell_angle_beta 90.00
_cell_angle_gamma 144.22
loop_
_atom_site_label
_atom_site_type_symbol
_atom_site_fract_x
_atom_site_fract_y
_atom_site_fract_z
Mg1 Mg 0.083 0.917 0.250
Mg2 Mg 0.917 0.083 0.750
W1 W 0.806 0.194 0.135
W2 W 0.194 0.806 0.865
W3 W 0.194 0.806 0.635
W4 W 0.806 0.194 0.365
O1 O 0.347 0.653 0.750
O2 O 0.653 0.347 0.250
O3 O 0.746 0.254 0.591
O4 O 0.254 0.746 0.409
O5 O 0.254 0.746 0.091
O6 O 0.746 0.254 0.909
O7 O 0.960 0.040 0.120
O8 O 0.040 0.960 0.880
O9 O 0.960 0.040 0.380
O10 O 0.040 0.960 0.620
```

=====

*2*
Here is a relaxed structure of MgW2O5 from Alexandria. Energies are from PBE with a Hubbard U.

Properties
DOS at the Fermi energy (states/eV per cell): 0.8
Total magnetic moment (μB per atom): 0.43

Geometry as CIF:
```
data_MgW2O5
_space_group_name_H-M_alt 'P 1'
_space_group_IT_number 1
_space_group_name_Hall 'P 1'
_cell_length_a 3.185
_cell_length_b 5.305
_cell_length_c 12.355
_cell_angle_alpha 84.12
_cell_angle_beta 88.90
_cell_angle_gamma 90.05
loop_
_atom_site_label
_atom_site_type_symbol
_atom_site_fract_x
_atom_site_fract_y
_atom_site_fract_z
Mg1 Mg 0.238 0.120 0.223
Mg2 Mg 0.766 0.884 0.777
W1 W 0.744 0.621 0.104
W2 W 0.260 0.383 0.896
W3 W 0.247 0.418 0.611
W4 W 0.756 0.586 0.389
O1 O 0.264 0.618 0.755
O2 O 0.740 0.386 0.246
O3 O 0.248 0.355 0.064
O4 O 0.756 0.649 0.936
O5 O 0.260 0.348 0.450
O6 O 0.743 0.656 0.551
O7 O 0.231 0.814 0.335
O8 O 0.772 0.189 0.665
O9 O 0.263 0.064 0.855
O10 O 0.741 0.939 0.145
```

=====

Short version: *2* is the most stable of them.

=====

*1*
Here is a relaxed structure of Mg3WO6 from Alexandria. Energies are from PBE with a Hubbard U.

Properties
DOS at the Fermi energy (states/eV per cell): 0.0
Total magnetic moment (μB per atom): 0.00

Geometry as CIF:
```
data_Mg3WO6
_space_group_name_H-M_alt 'P 1'
_space_group_IT_number 1
_space_group_name_Hall 'P 1'
_cell_length_a 6.108
_cell_length_b 6.108
_cell_length_c 6.108
_cell_angle_alpha 91.28
_cell_angle_beta 91.28
_cell_angle_gamma 91.28
loop_
_atom_site_label
_atom_site_type_symbol
_atom_site_fract_x
_atom_site_fract_y
_atom_site_fract_z
Mg1 Mg 0.440 0.936 0.750
Mg2 Mg 0.936 0.750 0.440
Mg3 Mg 0.250 0.560 0.064
Mg4 Mg 0.750 0.440 0.936
Mg5 Mg 0.064 0.250 0.560
Mg6 Mg 0.560 0.064 0.250
W1 W 0.000 0.000 0.000
W2 W 0.500 0.500 0.500
O1 O 0.302 0.929 0.076
O2 O 0.071 0.924 0.698
O3 O 0.594 0.801 0.449
O4 O 0.924 0.698 0.071
O5 O 0.449 0.594 0.801
O6 O 0.199 0.551 0.406
O7 O 0.801 0.449 0.594
O8 O 0.551 0.406 0.199
O9 O 0.076 0.302 0.929
O10 O 0.406 0.199 0.551
O11 O 0.929 0.076 0.302
O12 O 0.698 0.071 0.924
```

=====

*2*
Here is a relaxed structure of Mg3WO6 from Alexandria. Energies are from PBE with a Hubbard U.

Properties
DOS at the Fermi energy (states/eV per cell): 0.0
Total magnetic moment (μB per atom): 0.00

Geometry as CIF:
```
data_Mg3WO6
_space_group_name_H-M_alt 'P 1'
_space_group_IT_number 1
_space_group_name_Hall 'P 1'
_cell_length_a 5.355
_cell_length_b 5.186
_cell_length_c 9.258
_cell_angle_alpha 56.15
_cell_angle_beta 90.00
_cell_angle_gamma 90.00
loop_
_atom_site_label
_atom_site_type_symbol
_atom_site_fract_x
_atom_site_fract_y
_atom_site_fract_z
Mg1 Mg 0.500 0.500 0.500
Mg2 Mg 0.952 0.730 0.265
Mg3 Mg 0.452 0.270 0.235
Mg4 Mg 0.000 0.500 0.000
Mg5 Mg 0.548 0.730 0.765
Mg6 Mg 0.048 0.270 0.735
W1 W 0.500 0.000 0.000
W2 W 0.000 0.000 0.500
O1 O 0.421 0.108 0.764
O2 O 0.196 0.750 0.084
O3 O 0.176 0.369 0.447
O4 O 0.676 0.631 0.053
O5 O 0.696 0.250 0.416
O6 O 0.921 0.892 0.736
O7 O 0.079 0.108 0.264
O8 O 0.304 0.750 0.584
O9 O 0.324 0.369 0.947
O10 O 0.824 0.631 0.553
O11 O 0.804 0.250 0.916
O12 O 0.579 0.892 0.236
```

=====

Short version: *1* is the most stable of them.

=====

*1*
Here is a relaxed structure of MgW3O from Alexandria. Energies are from PBE with a Hubbard U.

Properties
DOS at the Fermi energy (states/eV per cell): 2.6
Total magnetic moment (μB per atom): 0.00

Geometry as CIF:
```
data_MgW3O
_space_group_name_H-M_alt 'P 1'
_space_group_IT_number 1
_space_group_name_Hall 'P 1'
_cell_length_a 4.244
_cell_length_b 4.244
_cell_length_c 4.244
_cell_angle_alpha 90.00
_cell_angle_beta 90.00
_cell_angle_gamma 90.00
loop_
_atom_site_label
_atom_site_type_symbol
_atom_site_fract_x
_atom_site_fract_y
_atom_site_fract_z
Mg1 Mg 0.500 0.500 0.500
O1 O 0.000 0.000 0.000
W1 W 0.000 0.500 0.000
W2 W 0.000 0.000 0.500
W3 W 0.500 0.000 0.000
```

=====

*2*
Here is a relaxed structure of MgW3O from Alexandria. Energies are from PBE with a Hubbard U.

Properties
DOS at the Fermi energy (states/eV per cell): 0.9
Total magnetic moment (μB per atom): 1.99

Geometry as CIF:
```
data_MgW3O
_space_group_name_H-M_alt 'P 1'
_space_group_IT_number 1
_space_group_name_Hall 'P 1'
_cell_length_a 5.106
_cell_length_b 5.106
_cell_length_c 5.106
_cell_angle_alpha 90.00
_cell_angle_beta 90.00
_cell_angle_gamma 90.00
loop_
_atom_site_label
_atom_site_type_symbol
_atom_site_fract_x
_atom_site_fract_y
_atom_site_fract_z
Mg1 Mg 0.000 0.000 0.000
O1 O 0.500 0.500 0.500
W1 W 0.000 0.500 0.000
W2 W 0.000 0.000 0.500
W3 W 0.500 0.000 0.000
```

=====

Short version: *1* is the most stable of them.